(1)
This record from Alexandria via LeMat-Bulk describes an optimized crystal structure of KHg. The functional is PBE-GGA.

Geometry as POSCAR:
```
KHg
1.0
6.950 0.000 0.000
0.000 6.950 0.000
0.000 0.000 7.084
Hg K
4 4
Cartesian
2.357 2.357 0.000
1.118 5.833 3.542
4.593 4.593 0.000
5.833 1.118 3.542
5.643 1.307 0.000
2.168 2.168 3.542
1.307 5.643 0.000
4.782 4.782 3.542
```

Calculated values
Its formation energy is -158 meV/atom. Its space-group type is P4_2/mnm, No. 136. Its energy is -0.857 eV/atom.



(2)
This record from Alexandria via LeMat-Bulk describes an optimized crystal structure of K5Hg. The functional is PBE-GGA.

Geometry as POSCAR:
```
K5Hg
1.0
9.887 0.497 0.000
-8.584 4.930 0.000
0.000 0.000 6.506
K Hg
5 1
Cartesian
-6.116 4.338 3.253
2.760 2.207 0.000
-2.476 3.464 0.000
6.381 1.338 3.253
0.136 2.837 3.253
9.380 0.619 0.000
```

Calculated values
The calculation puts the energy above the lowest structure with this stoichiometry at 0.17 eV/f.u. Its formation energy is -45 meV/atom. Its space-group type is Amm2, No. 38. Its energy is -1.010 eV/atom.



(3)
This record from Alexandria via LeMat-Bulk describes an optimized crystal structure of KHg. The functional is PBE-GGA.

Geometry as POSCAR:
```
KHg
1.0
6.424 0.000 0.000
0.000 17.900 0.000
0.000 0.000 10.583
K Hg
16 16
Cartesian
3.212 0.000 1.780
3.212 8.950 3.512
4.818 13.425 0.866
4.818 4.475 6.157
4.818 4.475 9.717
1.606 4.475 0.866
3.212 8.950 7.071
0.000 0.000 7.071
0.000 0.000 3.512
4.818 13.425 4.425
0.000 8.950 8.803
1.606 13.425 9.717
1.606 4.475 4.425
1.606 13.425 6.157
0.000 8.950 1.780
3.212 0.000 8.803
0.000 16.401 0.000
3.212 7.451 0.000
0.000 1.499 0.000
1.606 14.925 2.646
4.818 2.976 2.646
3.212 10.450 0.000
3.212 1.499 5.291
1.606 11.926 2.646
4.818 5.974 2.646
0.000 7.451 5.291
4.818 11.926 7.937
4.818 14.925 7.937
3.212 16.401 5.291
1.606 2.976 7.937
1.606 5.974 7.937
0.000 10.450 5.291
```

Calculated values
Its formation energy is -180 meV/atom. Its space-group type is Fddd, No. 70. Its energy is -0.879 eV/atom.



(4)
This record from Alexandria via LeMat-Bulk describes an optimized crystal structure of KHg. The functional is PBE-GGA.

Geometry as POSCAR:
```
KHg
1.0
-2.497 -2.629 2.184
2.843 -0.096 3.134
-4.096 7.157 3.934
K Hg
2 2
Cartesian
-3.203 4.536 5.901
-1.744 3.048 1.675
-0.199 0.349 0.192
-0.652 0.078 3.451
```

Calculated values
Its formation energy is -176 meV/atom. Its space-group type is P4/nmm, No. 129. Its energy is -0.875 eV/atom.



(5)
This record from Alexandria via LeMat-Bulk describes an optimized crystal structure of KHg. The functional is PBE-GGA.

Geometry as POSCAR:
```
KHg
1.0
4.647 0.000 0.000
-2.324 4.025 0.000
0.000 0.000 9.827
K Hg
2 2
Cartesian
0.000 0.000 4.270
2.324 1.342 8.013
0.000 0.000 0.453
2.324 1.342 2.004
```

Calculated values
Its formation energy is -147 meV/atom. Its space-group type is P-3m1, No. 164. Its energy is -0.846 eV/atom.



(6)
This record from Alexandria via LeMat-Bulk describes an optimized crystal structure of K13Hg2. The functional is PBE-GGA.

Geometry as POSCAR:
```
K13Hg2
1.0
-1.846 -6.071 -5.882
10.062 -1.416 1.457
-6.938 -5.520 7.602
K Hg
13 2
Cartesian
-0.027 -4.502 5.304
0.985 -8.576 5.053
3.719 -2.052 -0.668
0.293 -4.431 -1.875
-5.555 -8.567 1.558
4.983 -6.025 5.356
6.833 -4.439 1.620
2.716 -6.250 1.357
1.305 -8.505 -2.127
-2.441 -10.954 3.845
-1.438 -6.757 1.821
-3.705 -6.982 -2.178
0.000 0.000 0.000
0.275 -3.366 1.652
1.003 -9.641 1.526
```

Calculated values
The calculation puts the energy above the lowest structure with this stoichiometry at 0.00 eV/f.u. Its formation energy is -61 meV/atom. Its space-group type is P-1, No. 2. Its energy is -1.052 eV/atom.



(7)
This record from Alexandria via LeMat-Bulk describes an optimized crystal structure of KHg6. The functional is PBE-GGA.

Geometry as POSCAR:
```
KHg6
1.0
7.201 0.000 0.000
-2.400 6.789 0.000
-2.400 -3.395 5.880
Hg K
6 1
Cartesian
-1.200 3.395 2.940
1.200 -0.849 4.410
1.200 4.243 1.470
-1.200 0.849 4.410
3.601 2.546 1.470
3.601 0.000 2.940
0.000 0.000 0.000
```

Calculated values
The calculation puts the energy above the lowest structure with this stoichiometry at 0.97 eV/f.u. Its formation energy is -17 meV/atom. Its space-group type is Im-3m, No. 229. Its energy is -0.432 eV/atom.



(8)
This record from Alexandria via LeMat-Bulk describes an optimized crystal structure of KHg4. The functional is PBE-GGA.

Geometry as POSCAR:
```
KHg4
1.0
-1.969 -6.343 0.479
-2.453 3.478 5.121
-2.231 2.591 -5.714
Hg K
4 1
Cartesian
-0.984 -3.171 0.239
-1.115 1.296 -2.857
-1.226 1.739 2.561
-3.326 -0.137 -0.057
0.000 0.000 0.000
```

Calculated values
The calculation puts the energy above the lowest structure with this stoichiometry at 0.82 eV/f.u. Its formation energy is -12 meV/atom. Its space-group type is Im-3m, No. 229. Its energy is -0.473 eV/atom.



(9)
This record from Alexandria via LeMat-Bulk describes an optimized crystal structure of KHg. The functional is PBE-GGA.

Geometry as POSCAR:
```
KHg
1.0
10.272 0.000 0.000
-5.136 8.896 0.000
0.000 0.000 5.516
K Hg
6 6
Cartesian
0.000 3.295 4.137
7.418 1.648 1.379
2.854 1.648 1.379
5.136 5.600 1.379
2.282 7.248 4.137
-2.282 7.248 4.137
1.665 4.969 1.379
6.801 3.927 4.137
-1.665 4.969 1.379
3.471 3.927 4.137
5.136 1.042 4.137
0.000 7.853 1.379
```

Calculated values
Its formation energy is -207 meV/atom. Its space-group type is P6_3/mmc, No. 194. Its energy is -0.907 eV/atom.



(10)
This record from Alexandria via LeMat-Bulk describes an optimized crystal structure of KHg. The functional is PBE-GGA.

Geometry as POSCAR:
```
KHg
1.0
5.834 0.000 0.000
2.917 5.052 0.000
2.917 1.684 4.763
Hg K
2 2
Cartesian
2.917 1.684 1.191
0.000 0.000 0.000
8.750 5.052 3.572
5.834 3.368 2.382
```

Calculated values
Its formation energy is -163 meV/atom. Its space-group type is Fd-3m, No. 227. Its energy is -0.863 eV/atom.



(11)
This record from Alexandria via LeMat-Bulk describes an optimized crystal structure of KHg. The functional is PBE-GGA.

Geometry as POSCAR:
```
KHg
1.0
5.002 0.000 0.000
2.501 4.332 0.000
2.501 1.444 4.084
Hg K
1 1
Cartesian
5.002 2.888 2.042
0.000 0.000 0.000
```

Calculated values
Its formation energy is -124 meV/atom. Its space-group type is Fm-3m, No. 225. Its energy is -0.824 eV/atom.



(12)
This record from Alexandria via LeMat-Bulk describes an optimized crystal structure of KHg6. The functional is PBE-GGA.

Geometry as POSCAR:
```
KHg6
1.0
-4.606 0.478 -4.928
3.384 -4.610 -3.610
-5.002 -6.816 4.014
Hg K
12 2
Cartesian
-1.716 -7.362 -0.669
-1.450 -3.903 -0.582
-3.464 -7.880 -3.725
-4.182 -5.699 3.356
-4.308 -2.907 -2.454
-1.431 -3.183 -3.611
-5.912 -5.497 -2.729
-0.820 -1.118 0.658
-3.372 -5.133 -5.067
-4.793 -7.764 -0.913
-0.514 -6.129 -3.196
-4.164 -4.979 0.327
-2.303 0.239 -2.464
1.692 -2.305 -1.805
```

Calculated values
The calculation puts the energy above the lowest structure with this stoichiometry at 0.23 eV/f.u. Its formation energy is -122 meV/atom. Its space-group type is P4/nbm, No. 125. Its energy is -0.537 eV/atom.



(13)
This record from Alexandria via LeMat-Bulk describes an optimized crystal structure of KHg. The functional is PBE-GGA.

Geometry as POSCAR:
```
KHg
1.0
7.852 0.000 0.000
0.000 7.852 0.000
0.000 0.000 7.852
K Hg
4 4
Cartesian
5.889 1.963 5.889
1.963 5.889 5.889
1.963 1.963 1.963
5.889 5.889 1.963
0.000 3.926 3.926
3.926 3.926 0.000
3.926 0.000 3.926
0.000 0.000 0.000
```

Calculated values
Its formation energy is 62 meV/atom. Its space-group type is F-43m, No. 216. Its energy is -0.638 eV/atom.



(14)
This record from Alexandria via LeMat-Bulk describes an optimized crystal structure of K3Hg11. The functional is PBE-GGA.

Geometry as POSCAR:
```
K3Hg11
1.0
-5.666 -7.524 -1.933
4.996 -7.748 2.733
-4.517 8.017 2.791
Hg K
11 3
Cartesian
-3.177 0.299 3.050
-7.319 -1.845 0.724
-3.826 -5.060 0.577
1.629 -2.341 2.762
-2.131 -5.204 3.227
-3.057 -2.051 0.364
-6.817 -4.915 0.829
-5.092 0.246 0.429
-2.012 -7.555 0.541
2.131 -5.410 2.868
-1.362 -2.196 3.014
-0.195 -4.436 0.233
0.000 0.000 0.000
-0.476 -10.836 0.568
```

Calculated values
Its formation energy is -208 meV/atom. Its space-group type is Immm, No. 71. Its energy is -0.680 eV/atom.



(15)
This record from Alexandria via LeMat-Bulk describes an optimized crystal structure of KHg13. The functional is PBE-GGA.

Geometry as POSCAR:
```
KHg13
1.0
-4.631 -8.941 -3.681
1.458 -9.298 5.135
-8.106 -4.460 5.418
K Hg
2 26
Cartesian
-2.820 -5.675 1.718
-8.459 -17.024 5.154
-3.253 -9.305 -0.701
-8.443 -12.679 4.570
-9.575 -14.352 1.862
-10.785 -10.972 2.835
-2.836 -10.020 2.302
-0.493 -11.727 4.037
-4.786 -8.365 4.567
-6.735 -10.312 -1.535
-3.330 -11.201 5.794
-6.970 -6.351 2.958
-3.814 -15.167 0.422
-7.948 -11.498 1.078
-4.543 -12.387 8.407
-7.465 -7.532 6.450
-1.703 -8.347 5.009
-6.492 -14.334 2.305
-5.397 -13.907 5.513
-6.607 -10.527 6.485
-4.309 -16.348 3.914
0.000 0.000 0.000
-5.639 -11.349 3.436
-8.269 -9.372 3.733
-8.025 -13.394 7.573
-3.010 -13.327 3.139
-4.671 -12.172 0.386
-5.881 -8.792 1.359
```

Calculated values
Its formation energy is -54 meV/atom. Its space-group type is Fm-3c, No. 226. Its energy is -0.413 eV/atom.



(16)
This record from Alexandria via LeMat-Bulk describes an optimized crystal structure of KHg. The functional is PBE-GGA.

Geometry as POSCAR:
```
KHg
1.0
11.969 0.000 0.000
0.000 11.969 0.000
0.000 0.000 5.174
Hg K
8 8
Cartesian
2.397 9.572 0.000
3.587 8.382 2.587
8.382 3.587 2.587
3.587 3.587 2.587
8.382 8.382 2.587
2.397 2.397 0.000
9.572 2.397 0.000
9.572 9.572 0.000
3.215 0.000 2.587
9.200 5.985 0.000
0.000 8.754 2.587
0.000 3.215 2.587
8.754 0.000 2.587
5.985 2.769 0.000
5.985 9.200 0.000
2.769 5.985 0.000
```

Calculated values
Its formation energy is -188 meV/atom. Its space-group type is I4/mmm, No. 139. Its energy is -0.887 eV/atom.



(17)
This record from Alexandria via LeMat-Bulk describes an optimized crystal structure of KHg5. The functional is PBE-GGA.

Geometry as POSCAR:
```
KHg5
1.0
-0.661 -4.884 -1.007
3.673 -1.153 3.181
-6.608 0.120 3.754
Hg K
5 1
Cartesian
1.506 -3.019 1.087
-1.959 -2.598 1.321
-3.121 -0.298 3.496
0.186 -0.734 3.439
-1.636 -3.319 4.607
0.000 0.000 0.000
```

Calculated values
The calculation puts the energy above the lowest structure with this stoichiometry at 0.08 eV/f.u. Its formation energy is -159 meV/atom. Its space-group type is Cmmm, No. 65. Its energy is -0.594 eV/atom.



(18)
This record from Alexandria via LeMat-Bulk describes an optimized crystal structure of KHg11. The functional is PBE-GGA.

Geometry as POSCAR:
```
KHg11
1.0
10.267 0.000 0.000
0.000 10.267 0.000
0.000 0.000 10.267
Hg K
33 3
Cartesian
0.000 3.538 6.729
7.526 7.526 5.133
1.571 1.571 1.571
3.538 0.000 3.538
2.741 5.133 7.526
2.741 2.741 5.133
7.526 5.133 2.741
5.133 2.741 7.526
5.133 5.133 5.133
8.696 1.571 8.696
2.741 5.133 2.741
5.133 7.526 7.526
7.526 5.133 7.526
8.696 8.696 8.696
8.696 8.696 1.571
3.538 6.729 0.000
0.000 3.538 3.538
6.729 3.538 0.000
6.729 0.000 3.538
7.526 2.741 5.133
2.741 7.526 5.133
5.133 2.741 2.741
1.571 8.696 8.696
6.729 0.000 6.729
8.696 1.571 1.571
3.538 0.000 6.729
1.571 1.571 8.696
3.538 3.538 0.000
0.000 6.729 3.538
1.571 8.696 1.571
5.133 7.526 2.741
0.000 6.729 6.729
6.729 6.729 0.000
0.000 0.000 5.133
5.133 0.000 0.000
0.000 5.133 0.000
```

Calculated values
The calculation puts the energy above the lowest structure with this stoichiometry at 0.00 eV/f.u. Its formation energy is -99 meV/atom. Its space-group type is Pm-3m, No. 221. Its energy is -0.467 eV/atom.



(19)
This record from Alexandria via LeMat-Bulk describes an optimized crystal structure of KHg. The functional is PBE-GGA.

Geometry as POSCAR:
```
KHg
1.0
-3.585 5.733 -1.860
-4.101 1.705 -5.427
-6.802 1.534 -0.748
Hg K
2 2
Cartesian
-0.625 0.387 -0.347
-10.241 6.343 -5.680
-6.904 4.276 -3.829
-3.962 2.454 -2.197
```

Calculated values
Its formation energy is -219 meV/atom. Its space-group type is R-3m, No. 166. Its energy is -0.918 eV/atom.



(20)
This record from Alexandria via LeMat-Bulk describes an optimized crystal structure of KHg2. The functional is PBE-GGA.

Geometry as POSCAR:
```
KHg2
1.0
4.467 0.000 0.000
0.000 4.467 0.000
0.000 0.000 5.673
K Hg
1 2
Cartesian
0.000 0.000 0.000
0.000 2.233 2.837
2.233 0.000 2.837
```

Calculated values
Its formation energy is -194 meV/atom. Its space-group type is P4/mmm, No. 123. Its energy is -0.761 eV/atom.